Record 1
The following is a DFT calculation (PBE-GGA) of a geometry-optimized BaLi2Tl structure.

a b c (Å): 4.9439 4.9439 6.6536
angles (deg): 111.55 111.55 59.82
Element x y z (fractional)
1 Ba 0.0000 0.0000 0.0000
2 Li 0.5099 0.5099 0.5269
3 Li 0.8138 0.8138 0.4369
4 Tl 0.2013 0.2013 0.6013

=====

Record 2
The following is a DFT calculation (PBE-GGA) of a geometry-optimized Ba5Li2Tl12 structure.

a b c (Å): 10.6544 10.6544 8.0374
angles (deg): 97.38 97.38 45.50
Element x y z (fractional)
1 Ba 0.0000 0.0000 0.0000
2 Ba 0.2346 0.2346 0.9021
3 Ba 0.3069 0.3069 0.4488
4 Ba 0.6931 0.6931 0.5512
5 Ba 0.7654 0.7654 0.0979
6 Li 0.2978 0.7022 0.5000
7 Li 0.7022 0.2978 0.5000
8 Tl 0.0435 0.6513 0.7524
9 Tl 0.0869 0.0869 0.5531
10 Tl 0.2037 0.5868 0.1512
11 Tl 0.3487 0.9565 0.2476
12 Tl 0.4132 0.7963 0.8488
13 Tl 0.4566 0.4566 0.8001
14 Tl 0.5434 0.5434 0.1999
15 Tl 0.5868 0.2037 0.1512
16 Tl 0.6513 0.0435 0.7524
17 Tl 0.7963 0.4132 0.8488
18 Tl 0.9131 0.9131 0.4469
19 Tl 0.9565 0.3487 0.2476

=====

Number 1: calculated formation energy -0.203 eV/atom. Number 2: calculated formation energy -0.259 eV/atom.